Record 1
TmMoO5 (PBE with a Hubbard U, optimized geometry); total magnetic moment = 1.03 μB/f.u.; E = -101.7 eV for the cell shown; volume = 14.10 Å³ per atom; SG = C2/c
1.0
4.481 -3.189 0.000
4.481 3.189 0.000
-3.194 0.000 6.908
Tm Mo O
2 2 10
direct
0.052 0.948 0.750
0.948 0.052 0.250
0.500 0.500 0.000
0.500 0.500 0.500
0.194 0.786 0.041
0.214 0.806 0.459
0.250 0.288 0.382
0.288 0.250 0.882
0.416 0.584 0.750
0.584 0.416 0.250
0.712 0.750 0.118
0.750 0.712 0.618
0.786 0.194 0.541
0.806 0.214 0.959

=====

Record 2
TmMoWO6 (PBE with a Hubbard U, optimized geometry); total magnetic moment = 3.00 μB/f.u.; E = -139.2 eV for the cell shown; volume = 12.75 Å³ per atom; SG = P-31c
1.0
5.439 0.000 0.000
-2.720 4.710 0.000
0.000 0.000 8.959
Tm Mo W O
2 2 2 12
direct
0.333 0.667 0.250
0.667 0.333 0.750
0.000 0.000 0.000
0.000 0.000 0.500
0.333 0.667 0.750
0.667 0.333 0.250
0.038 0.361 0.630
0.038 0.677 0.870
0.323 0.361 0.870
0.323 0.962 0.630
0.361 0.038 0.130
0.361 0.323 0.370
0.639 0.677 0.630
0.639 0.962 0.870
0.677 0.038 0.370
0.677 0.639 0.130
0.962 0.323 0.130
0.962 0.639 0.370

=====

Record 3
YTmMoO6 (PBE with a Hubbard U, optimized geometry); total magnetic moment = 0.00 μB/f.u.; E = -71.8 eV for the cell shown; volume = 13.62 Å³ per atom; SG = P312
1.0
5.476 0.000 0.000
-2.738 4.742 0.000
0.000 0.000 4.722
Y Tm Mo O
1 1 1 6
direct
0.000 0.000 0.000
0.667 0.333 0.500
0.333 0.667 0.000
0.031 0.375 0.231
0.031 0.656 0.769
0.344 0.375 0.769
0.344 0.969 0.231
0.625 0.656 0.231
0.625 0.969 0.769